Density functional theory data (PBE) for an optimized crystal structure of BaMnRh.

Calculated values
SG: Cmcm
Energy of formation from the pure elements: 0.327 eV/atom

Geometry as POSCAR:
```
BaMnRh
1.0
12.1125 0.0000 0.0000
0.0000 5.0587 0.0000
0.0000 0.0000 4.3076
Mn Rh Ba
4 4 4
Cartesian
0.0000 2.5294 0.0000
6.0562 2.5294 2.1538
0.0000 0.0000 0.0000
6.0562 0.0000 2.1538
5.5749 1.2647 0.0000
0.4814 3.7940 2.1538
6.5376 3.7940 4.3076
11.6311 1.2647 2.1538
8.5929 1.2647 4.3074
3.5195 3.7940 0.0002
2.5367 1.2647 2.1540
9.5758 3.7940 2.1536
```